(1)
Density functional theory data (GGA-PBE) for a relaxed Pa3Tc2Ge3Os crystal.

Cell lengths 7.0977, 7.0977, 3.9459 Å; angles 90.00, 90.00, 120.00 degrees
With the nearest neighbours (Å) after each atom.
Space group P-62m (No. 189)
Unique sites:
Pa 0.0000 0.5846 0.0000  4 Tc 2.91, 1 Os 2.95, 6 Ge 3.10-3.24
Tc 0.3333 0.6667 0.5000  3 Ge 2.72, 6 Pa 2.91
Ge 0.0000 0.2470 0.5000  2 Os 2.64, 2 Tc 2.72
Os 0.0000 0.0000 0.0000  6 Ge 2.64, 3 Pa 2.95

Results
The value obtained for the uncorrected energy is -78.90 eV per formula unit. The formation energy is -4.599 eV per formula unit. Its size of the total moment is 0.0 μB per formula unit.

(2)
Density functional theory data (GGA-PBE) for a relaxed Pa4GeTe2Os crystal.

Cell lengths 7.3291, 4.0925, 7.4902 Å; angles 90.00, 107.93, 90.00 degrees
With the nearest neighbours (Å) after each atom.
Space group P2/m (No. 10)
Unique sites:
Pa 0.2231 0.0000 0.2071  2 Os 2.78, 1 Ge 2.91
Pa 0.2482 0.5000 0.7838  1 Os 2.78, 2 Ge 2.89, 2 Te 3.10
Ge 0.5000 0.0000 0.0000  6 Pa 2.89-2.91
Te 0.0000 0.0000 0.5000  6 Pa 3.10-3.11
Te 0.5000 0.5000 0.5000  6 Pa 3.22
Os 0.0000 0.5000 0.0000  6 Pa 2.78

Results
The value obtained for the uncorrected energy is -64.73 eV per formula unit. Its size of the total moment is 0.0 μB per formula unit. For the formation energy without anion corrections, the calculation gives -0.58 eV per atom.

(3)
Density functional theory data (GGA-PBE) for a relaxed PaVGeOs crystal.

Cell lengths 6.5333, 6.5333, 6.5333 Å; angles 90.00, 90.00, 90.00 degrees
With the nearest neighbours (Å) after each atom.
Space group F-43m (No. 216)
Unique sites:
Pa 0.0000 0.0000 0.0000  4 Os 2.83, 4 V 2.83
V 0.2500 0.2500 0.2500  4 Ge 2.83, 4 Pa 2.83
Ge 0.0000 0.0000 0.5000  4 Os 2.83, 4 V 2.83
Os 0.2500 0.2500 0.7500  4 Ge 2.83, 4 Pa 2.83

Results
The value obtained for the uncorrected energy is -34.69 eV per formula unit. The formation energy is -0.229 eV per formula unit. Its size of the total moment is 1.7 μB per formula unit.

(4)
Density functional theory data (GGA-PBE) for a relaxed PaZnGeOs crystal.

Cell lengths 6.6454, 6.6454, 6.6454 Å; angles 90.00, 90.00, 90.00 degrees
With the nearest neighbours (Å) after each atom.
Space group F-43m (No. 216)
Unique sites:
Pa 0.0000 0.0000 0.0000  4 Os 2.88, 4 Zn 2.88
Zn 0.2500 0.2500 0.2500  4 Ge 2.88, 4 Pa 2.88
Ge 0.0000 0.0000 0.5000  4 Os 2.88, 4 Zn 2.88
Os 0.2500 0.2500 0.7500  4 Ge 2.88, 4 Pa 2.88

Results
The value obtained for the uncorrected energy is -26.64 eV per formula unit. The formation energy is -0.022 eV per formula unit. Its size of the total moment is 0.0 μB per formula unit.

(5)
Density functional theory data (GGA-PBE) for a relaxed GeOsPb crystal.

Cell lengths 3.1361, 4.6024, 9.9004 Å; angles 92.79, 99.01, 109.87 degrees
With the nearest neighbours (Å) after each atom.
Space group P1 (No. 1)
Unique sites:
Ge 0.0000 0.0000 0.0000  5 Os 2.43-2.65
Ge 0.3100 0.3669 0.2566  3 Os 2.46-2.51
Os 0.5614 0.9148 0.2106  5 Ge 2.46-2.65
Os 0.7369 0.4487 0.0265  3 Ge 2.43-2.49
Pb 0.1402 0.5050 0.7710  2 Os 2.98-2.99, 2 Pb 3.14, 3 Ge 3.30-3.32
Pb 0.7109 0.9275 0.5042  1 Os 2.86, 2 Pb 3.14

Results
The value obtained for the uncorrected energy is -18.77 eV per formula unit. The formation energy is 0.784 eV per formula unit. Its size of the total moment is 0.0 μB per formula unit.

(6)
Density functional theory data (GGA-PBE) for a relaxed GeOsPb crystal.

Cell lengths 8.8957, 3.0778, 9.5680 Å; angles 90.00, 97.86, 90.00 degrees
With the nearest neighbours (Å) after each atom.
Space group Cm (No. 8)
Unique sites:
Ge 0.0000 0.0000 0.0000  5 Os 2.47-2.62
Ge 0.1974 0.5000 0.2659  4 Os 2.55-2.60
Os 0.2218 0.5000 0.0001  4 Ge 2.47-2.58
Os 0.4102 0.0000 0.1945  5 Ge 2.55-2.62, 2 Os 2.79
Pb 0.2646 0.0000 0.7443  2 Os 2.96, 2 Pb 3.08
Pb 0.4638 0.5000 0.4804  1 Ge 2.91, 2 Pb 3.08, 2 Os 3.12

Results
The value obtained for the uncorrected energy is -18.74 eV per formula unit. The formation energy is 0.814 eV per formula unit. Its size of the total moment is 0.0 μB per formula unit.

(7)
Density functional theory data (GGA-PBE) for a relaxed GeOsPb crystal.

Cell lengths 3.1304, 19.0705, 4.1873 Å; angles 90.00, 90.00, 90.00 degrees
With the nearest neighbours (Å) after each atom.
Space group Cmcm (No. 63)
Unique sites:
Ge 0.0000 0.0568 0.2500  6 Os 2.61-2.66
Os 0.0000 0.4443 0.2500  6 Ge 2.61-2.66
Pb 0.0000 0.1890 0.7500  2 Os 2.98, 2 Pb 3.13, 2 Ge 3.28

Results
The value obtained for the uncorrected energy is -18.59 eV per formula unit. The formation energy is 0.969 eV per formula unit. Its size of the total moment is 0.0 μB per formula unit.

(8)
Density functional theory data (GGA-PBE) for a relaxed GeOsPb crystal.

Cell lengths 8.7789, 3.2540, 8.9591 Å; angles 90.00, 93.45, 90.00 degrees
With the nearest neighbours (Å) after each atom.
Space group C2/m (No. 12)
Unique sites:
Ge 0.1017 0.0000 0.1282  5 Os 2.47-2.68
Os 0.1185 0.5000 0.8918  5 Ge 2.47-2.68
Pb 0.1399 0.0000 0.6253  2 Os 2.90, 1 Ge 3.15, 1 Pb 3.23

Results
The value obtained for the uncorrected energy is -18.76 eV per formula unit. The formation energy is 0.790 eV per formula unit. Its size of the total moment is 0.0 μB per formula unit.

(9)
Density functional theory data (GGA-PBE) for a relaxed GeOs2Pb crystal.

Cell lengths 4.4045, 4.4045, 17.4649 Å; angles 90.00, 90.00, 90.00 degrees
With the nearest neighbours (Å) after each atom.
Space group I-42d (No. 122)
Unique sites:
Ge 0.0000 0.0000 0.0000  4 Os 2.51
Os 0.1293 0.2500 0.1250  2 Os 2.48, 2 Ge 2.51
Pb 0.0000 0.0000 0.5000  4 Os 2.94, 4 Ge 3.11

Results
The value obtained for the uncorrected energy is -27.26 eV per formula unit. The formation energy is 3.524 eV per formula unit. Its size of the total moment is 0.0 μB per formula unit.

(10)
Density functional theory data (GGA-PBE) for a relaxed GeOsPb crystal.

Cell lengths 8.7138, 3.1026, 9.7741 Å; angles 90.00, 94.71, 90.00 degrees
With the nearest neighbours (Å) after each atom.
Space group C2/m (No. 12)
Unique sites:
Ge 0.0883 0.0000 0.1280  5 Os 2.45-2.69
Os 0.1378 0.5000 0.9110  5 Ge 2.45-2.69
Pb 0.1432 0.5000 0.6184  1 Os 2.86, 2 Pb 3.10

Results
The value obtained for the uncorrected energy is -18.75 eV per formula unit. The formation energy is 0.802 eV per formula unit. Its size of the total moment is 0.0 μB per formula unit.

(11)
Density functional theory data (GGA-PBE) for a relaxed GeOsPb crystal.

Cell lengths 3.0981, 4.6279, 9.9034 Å; angles 93.60, 98.86, 109.54 degrees
With the nearest neighbours (Å) after each atom.
Space group P-1 (No. 2)
Unique sites:
Ge 0.1565 0.1869 0.1279  5 Os 2.45-2.69
Os 0.4102 0.7314 0.0895  5 Ge 2.45-2.69
Pb 0.4429 0.2705 0.6180  1 Os 2.86, 2 Pb 3.10

Results
The value obtained for the uncorrected energy is -18.78 eV per formula unit. The formation energy is 0.780 eV per formula unit. Its size of the total moment is 0.0 μB per formula unit.

(12)
Density functional theory data (GGA-PBE) for a relaxed GeOsPb crystal.

Cell lengths 3.2183, 4.5756, 9.4892 Å; angles 87.93, 87.45, 69.47 degrees
With the nearest neighbours (Å) after each atom.
Space group P-1 (No. 2)
Unique sites:
Ge 0.1456 0.2265 0.4312  5 Os 2.54-2.64, 3 Ge 2.71-2.82
Os 0.4392 0.6610 0.3555  5 Ge 2.54-2.64
Pb 0.2402 0.9371 0.8350  3 Os 2.94-3.17, 2 Ge 3.08-3.09, 2 Pb 3.22

Results
The value obtained for the uncorrected energy is -18.66 eV per formula unit. The formation energy is 0.900 eV per formula unit. Its size of the total moment is 0.0 μB per formula unit.